Compound: Mg2BeCr
Source: Alexandria via LeMat-Bulk
Functional: PBE
Structure: optimized geometry

Cell and atoms, written as POSCAR:
```
Mg2BeCr
1.0
3.0502 0.0000 0.0000
0.0000 3.0502 0.0000
0.0000 0.0000 6.9915
Mg Be Cr
2 1 1
Direct
0.0000 0.0000 0.0000 Mg
0.5000 0.5000 0.3346 Mg
0.0000 0.0000 0.5838 Be
0.5000 0.5000 0.7340 Cr
```

Values from the calculation:
As for the space-group type: P4mm. Its calculated formation energy is 296 meV per atom.

---

Compound: AcGaNiH
Source: Alexandria via LeMat-Bulk
Functional: PBE
Structure: optimized geometry

Cell and atoms, written as POSCAR:
```
AcGaNiH
1.0
4.2706 0.0000 0.0000
-2.1353 3.6984 0.0000
0.0000 0.0000 4.6837
Ac Ga Ni H
1 1 1 1
Direct
0.0000 0.0000 0.0000 Ac
0.3333 0.6667 0.4881 Ga
0.6667 0.3333 0.5431 Ni
0.6667 0.3333 0.8842 H
```

Values from the calculation:
As for the space-group type: P3m1. Its total energy is -4.5151 eV/atom.

---

Compound: La12In6Ru
Source: Alexandria via LeMat-Bulk
Functional: PBE
Structure: optimized geometry

Cell and atoms, written as POSCAR:
```
La12In6Ru
1.0
6.3735 3.6797 4.5843
-6.3735 3.6797 4.5843
0.0000 -7.3595 4.5843
La In Ru
12 6 1
Direct
0.0160 0.6807 0.9174 La
0.0826 0.9841 0.3193 La
0.1930 0.5421 0.4271 La
0.3193 0.0826 0.9840 La
0.4271 0.1930 0.5421 La
0.4579 0.5729 0.8070 La
0.5421 0.4271 0.1930 La
0.5729 0.8070 0.4579 La
0.6807 0.9174 0.0160 La
0.8070 0.4579 0.5729 La
0.9174 0.0160 0.6807 La
0.9841 0.3193 0.0826 La
0.1443 0.3381 0.7321 In
0.2679 0.8557 0.6619 In
0.3381 0.7321 0.1443 In
0.6619 0.2679 0.8557 In
0.7321 0.1443 0.3381 In
0.8557 0.6619 0.2679 In
0.0000 0.0000 0.0000 Ru
```

Values from the calculation:
As for the space-group type: R-3. Its calculated formation energy is -266 meV per atom.